1.
Here is CrMo2SeBr at its PBEsol-relaxed geometry from Alexandria. Energies are from meta-GGA SCAN.

abc: 4.6976 4.6976 4.5231
angles: 90.00 90.00 90.00
Closest atoms and distances in Å follow each position.
Element x y z (fractional)
Cr1 0.0000 0.0000 0.0000  2 Se 2.26
Mo1 0.0000 0.5000 0.5000  2 Se 2.35
Mo2 0.5000 0.0000 0.5000  2 Se 2.35
Se1 0.0000 0.0000 0.5000  2 Cr 2.26, 4 Mo 2.35
Br1 0.5000 0.5000 0.0000  8 Mo 3.26, 4 Cr 3.32

Computed properties:
- space group = P4/mmm, No. 123
- uncorrected formation energy (eV/f.u.) = 5.819
- total DFT energy (no corrections) (eV/atom) = -24.375
- ρ (kg/m3) = 6700
- D(E_F) (states/eV/f.u.) = 3.9
- V (Å³ per atom) = 19.96


2.
Here is Tl2CdH2 at its PBEsol-relaxed geometry from Alexandria. Energies are from meta-GGA SCAN.

abc: 5.0219 5.0219 5.0219
angles: 119.27 119.27 91.26
Closest atoms and distances in Å follow each position.
Element x y z (fractional)
Tl1 0.2500 0.7500 0.5000  4 H 2.88, 4 Cd 3.09
Tl2 0.7500 0.2500 0.5000  4 H 2.88, 4 Cd 3.09
Cd1 0.0000 0.0000 0.0000  8 Tl 3.09, 2 H 3.12
H1 0.4444 0.4444 0.0000  1 H 0.78
H2 0.5556 0.5556 0.0000  1 H 0.78

Computed properties:
- space group = I4/mmm, No. 139
- total DFT energy (no corrections) (eV/atom) = -36.276
- ρ (kg/m3) = 9599
- D(E_F) (states/eV/f.u.) = 1.5
- V (Å³ per atom) = 18.10


3.
Here is ReP5 at its PBEsol-relaxed geometry from Alexandria. Energies are from meta-GGA SCAN.

abc: 4.5215 4.5215 4.7185
angles: 90.00 90.00 120.00
Closest atoms and distances in Å follow each position.
Element x y z (fractional)
Re1 0.0000 0.0000 0.0000  12 P 2.61-2.70
P1 0.0000 0.7095 0.5000  2 P 2.28
P2 0.2905 0.2905 0.5000  2 P 2.28
P3 0.3333 0.6667 0.0000  3 Re 2.61, 9 P 2.61-2.86
P4 0.6667 0.3333 0.0000  3 Re 2.61, 9 P 2.61-2.86
P5 0.7095 0.0000 0.5000  2 P 2.28

Computed properties:
- space group = P-62m, No. 189
- total DFT energy (no corrections) (eV/atom) = -19.818
- ρ (kg/m3) = 6780
- formation enthalpy at 0 K (eV/atom) = 0.6969
- D(E_F) (states/eV/f.u.) = 2.7
- V (Å³ per atom) = 13.92


4.
Here is Y3Zr at its PBEsol-relaxed geometry from Alexandria. Energies are from meta-GGA SCAN.

abc: 3.4469 5.4074 6.0549
angles: 90.00 90.00 90.00
Closest atoms and distances in Å follow each position.
Element x y z (fractional)
Y1 0.0000 0.0000 0.0000  4 Zr 3.35, 8 Y 3.37-3.60
Y2 0.0000 0.5000 0.3349  8 Y 3.38-3.45, 4 Zr 3.47-3.50
Y3 0.5000 0.0000 0.5214  2 Zr 3.31, 10 Y 3.37-3.60
Zr1 0.5000 0.5000 0.8375  10 Y 3.31-3.50, 2 Zr 3.45

Computed properties:
- excess energy over the best structure of this formula in the dataset (eV per formula unit) = 0.11
- space group = Pmm2, No. 25
- total DFT energy (no corrections) (eV/atom) = -28.454
- ρ (kg/m3) = 5267
- formation enthalpy at 0 K (eV/atom) = 0.1024
- D(E_F) (states/eV/f.u.) = 6.4
- V (Å³ per atom) = 28.21